No. 1
# Cr2AuSe

Cr2AuSe after structural relaxation (GGA-PBE, Alexandria via LeMat-Bulk).

Structure (CIF):
```
data_Cr2AuSe
_chemical_formula_sum 'Cr2 Au1 Se1'
_cell_length_a 3.324
_cell_length_b 3.324
_cell_length_c 6.347
_cell_angle_alpha 90.00
_cell_angle_beta 90.00
_cell_angle_gamma 90.00
_symmetry_space_group_name_H-M 'P 4 m m'
_symmetry_Int_Tables_number 99
_symmetry_space_group_name_Hall 'P 4 -2'
loop_
_atom_site_label
_atom_site_fract_x
_atom_site_fract_y
_atom_site_fract_z
_atom_site_occupancy
Cr1 0.000 0.000 0.000 1
Cr2 0.500 0.500 0.232 1
Au1 0.500 0.500 0.776 1
Se1 0.000 0.000 0.405 1
```

=====

No. 2
# CrAuSe2

CrAuSe2 after structural relaxation (GGA-PBE, Alexandria via LeMat-Bulk).

Structure (CIF):
```
data_CrAuSe2
_chemical_formula_sum 'Cr2 Au2 Se4'
_cell_length_a 3.705
_cell_length_b 4.264
_cell_length_c 11.599
_cell_angle_alpha 90.00
_cell_angle_beta 90.00
_cell_angle_gamma 90.00
_symmetry_space_group_name_H-M 'I m m m'
_symmetry_Int_Tables_number 71
_symmetry_space_group_name_Hall '-I 2 2'
loop_
_atom_site_label
_atom_site_fract_x
_atom_site_fract_y
_atom_site_fract_z
_atom_site_occupancy
Cr1 0.000 0.000 0.000 1
Au1 0.000 0.000 0.500 1
Se1 0.000 0.500 0.352 1
```

=====

No. 3
# Cr3AuSe

Cr3AuSe after structural relaxation (GGA-PBE, Alexandria via LeMat-Bulk).

Structure (CIF):
```
data_Cr3AuSe
_chemical_formula_sum 'Cr3 Au1 Se1'
_cell_length_a 4.358
_cell_length_b 4.358
_cell_length_c 4.358
_cell_angle_alpha 90.00
_cell_angle_beta 90.00
_cell_angle_gamma 90.00
_symmetry_space_group_name_H-M 'P m -3 m'
_symmetry_Int_Tables_number 221
_symmetry_space_group_name_Hall '-P 4 2 3'
loop_
_atom_site_label
_atom_site_fract_x
_atom_site_fract_y
_atom_site_fract_z
_atom_site_occupancy
Cr1 0.000 0.000 0.500 1
Au1 0.500 0.500 0.500 1
Se1 0.000 0.000 0.000 1
```

Computed properties:
- ΔE to the lowest computed polymorph (eV/f.u.) = 0.000

=====

No. 4
# Cr2AuSe

Cr2AuSe after structural relaxation (GGA-PBE, Alexandria via LeMat-Bulk).

Structure (CIF):
```
data_Cr2AuSe
_chemical_formula_sum 'Cr6 Au3 Se3'
_cell_length_a 2.8844
_cell_length_b 2.8844
_cell_length_c 24.3523
_cell_angle_alpha 90.00
_cell_angle_beta 90.00
_cell_angle_gamma 120.00
_symmetry_space_group_name_H-M 'R -3 m'
_symmetry_Int_Tables_number 166
_symmetry_space_group_name_Hall '-R 3 2"'
loop_
_atom_site_label
_atom_site_fract_x
_atom_site_fract_y
_atom_site_fract_z
_atom_site_occupancy
Cr1 0.0000 0.0000 0.2425 1
Au1 0.0000 0.0000 0.0000 1
Se1 0.0000 0.0000 0.5000 1
```

=====

No. 5
# CrAuSe2

CrAuSe2 after structural relaxation (GGA-PBE, Alexandria via LeMat-Bulk).

Structure (CIF):
```
data_CrAuSe2
_chemical_formula_sum 'Cr2 Au2 Se4'
_cell_length_a 10.142
_cell_length_b 3.470
_cell_length_c 5.507
_cell_angle_alpha 90.00
_cell_angle_beta 94.74
_cell_angle_gamma 90.00
_symmetry_space_group_name_H-M 'C 1 m 1'
_symmetry_Int_Tables_number 8
_symmetry_space_group_name_Hall 'C -2y'
loop_
_atom_site_label
_atom_site_fract_x
_atom_site_fract_y
_atom_site_fract_z
_atom_site_occupancy
Cr1 0.000 0.000 0.000 1
Au1 0.279 0.000 0.049 1
Se1 0.123 0.500 0.270 1
Se2 0.426 0.000 0.701 1
```

=====

No. 6
# Cr2AuSe

Cr2AuSe after structural relaxation (GGA-PBE, Alexandria via LeMat-Bulk).

Structure (CIF):
```
data_Cr2AuSe
_chemical_formula_sum 'Cr4 Au2 Se2'
_cell_length_a 3.819
_cell_length_b 3.819
_cell_length_c 9.883
_cell_angle_alpha 90.00
_cell_angle_beta 90.00
_cell_angle_gamma 90.00
_symmetry_space_group_name_H-M 'I -4 m 2'
_symmetry_Int_Tables_number 119
_symmetry_space_group_name_Hall 'I -4 -2'
loop_
_atom_site_label
_atom_site_fract_x
_atom_site_fract_y
_atom_site_fract_z
_atom_site_occupancy
Cr1 0.000 0.000 0.000 1
Cr2 0.000 0.500 0.250 1
Au1 0.000 0.000 0.500 1
Se1 0.000 0.500 0.750 1
```

=====

No. 7
# Cr2AuSe

Cr2AuSe after structural relaxation (GGA-PBE, Alexandria via LeMat-Bulk).

Structure (CIF):
```
data_Cr2AuSe
_chemical_formula_sum 'Cr2 Au1 Se1'
_cell_length_a 3.042
_cell_length_b 3.042
_cell_length_c 6.566
_cell_angle_alpha 90.00
_cell_angle_beta 90.00
_cell_angle_gamma 90.00
_symmetry_space_group_name_H-M 'P 4/m m m'
_symmetry_Int_Tables_number 123
_symmetry_space_group_name_Hall '-P 4 2'
loop_
_atom_site_label
_atom_site_fract_x
_atom_site_fract_y
_atom_site_fract_z
_atom_site_occupancy
Cr1 0.000 0.000 0.215 1
Au1 0.500 0.500 0.500 1
Se1 0.500 0.500 0.000 1
```

=====

No. 8
# CrAuSe4

CrAuSe4 after structural relaxation (GGA-PBE, Alexandria via LeMat-Bulk).

Structure (CIF):
```
data_CrAuSe4
_chemical_formula_sum 'Cr4 Au4 Se16'
_cell_length_a 8.028
_cell_length_b 8.028
_cell_length_c 8.028
_cell_angle_alpha 90.00
_cell_angle_beta 90.00
_cell_angle_gamma 90.00
_symmetry_space_group_name_H-M 'F -4 3 m'
_symmetry_Int_Tables_number 216
_symmetry_space_group_name_Hall 'F -4 2 3'
loop_
_atom_site_label
_atom_site_fract_x
_atom_site_fract_y
_atom_site_fract_z
_atom_site_occupancy
Cr1 0.000 0.000 0.000 1
Au1 0.250 0.250 0.250 1
Se1 0.125 0.125 0.625 1
```

=====

The records above yield V values of 70.11; 91.62; 82.75; 58.49; 96.55; 72.08; 60.77; 129.36 Å³/f.u., respectively.
The records above yield E values of -6.399; -5.038; -6.110; -6.057; -5.065; -6.160; -6.232; -3.749 eV/atom, respectively.
The records above yield DOS(E_F) values of 2.85; 5.64; 13.51; 13.28; 4.45; 6.29; 3.71; 20.93 states/eV per cell, respectively.